First-principles (SCAN) data for a crystal of LaTeIO2 relaxed with PBEsol, as listed in Alexandria.

Properties
The value obtained for the formation energy (no corrections) is -3.44 eV per formula unit. As for the space group: P4/mmm. Its polymorph energy (0 for the lowest one) is 502 meV per atom.

a = 4.3404 Å, b = 4.3404 Å, c = 5.9636 Å
α = 90.00°, β = 90.00°, γ = 90.00°
Element x y z (fractional)
La (0.0000, 0.0000, 0.0000)
Te (0.5000, 0.5000, 0.5000)
I (0.5000, 0.5000, 0.0000)
O (0.0000, 0.5000, 0.5000)
O (0.5000, 0.0000, 0.5000)

=====

First-principles (SCAN) data for a crystal of LiHgRu relaxed with PBEsol, as listed in Alexandria.

Properties
As for the formation enthalpy at 0 K: 297 meV per atom. As for the space group: I4mm. Its polymorph energy (0 for the lowest one) is 0 meV per atom.

a = 2.7470 Å, b = 2.7470 Å, c = 12.5459 Å
α = 90.00°, β = 90.00°, γ = 90.00°
Element x y z (fractional)
Li (0.0000, 0.0000, 0.0000)
Li (0.5000, 0.5000, 0.5000)
Hg (0.0000, 0.0000, 0.3292)
Hg (0.5000, 0.5000, 0.8292)
Ru (0.0000, 0.0000, 0.6552)
Ru (0.5000, 0.5000, 0.1552)

=====

First-principles (SCAN) data for a crystal of Li2Si2S relaxed with PBEsol, as listed in Alexandria.

Properties
The value obtained for the formation energy (no corrections) is -1.25 eV per formula unit. As for the space group: I4/mmm.

a = 3.3418 Å, b = 3.3418 Å, c = 15.3029 Å
α = 90.00°, β = 90.00°, γ = 90.00°
Element x y z (fractional)
Li (0.0000, 0.0000, 0.0800)
Li (0.0000, 0.0000, 0.9200)
Li (0.5000, 0.5000, 0.4200)
Li (0.5000, 0.5000, 0.5800)
Si (0.0000, 0.5000, 0.2500)
Si (0.0000, 0.5000, 0.7500)
Si (0.5000, 0.0000, 0.2500)
Si (0.5000, 0.0000, 0.7500)
S (0.0000, 0.0000, 0.5000)
S (0.5000, 0.5000, 0.0000)

=====

First-principles (SCAN) data for a crystal of K2NaHf relaxed with PBEsol, as listed in Alexandria.

Properties
As for the formation enthalpy at 0 K: 1229 meV per atom. As for the space group: I-42d. Its polymorph energy (0 for the lowest one) is 70 meV per atom.

a = 9.6111 Å, b = 9.6111 Å, c = 7.1388 Å
α = 90.00°, β = 90.00°, γ = 90.00°
Element x y z (fractional)
K (0.2302, 0.7500, 0.1250)
K (0.2500, 0.2302, 0.8750)
K (0.2500, 0.2698, 0.3750)
K (0.2698, 0.7500, 0.6250)
K (0.7302, 0.2500, 0.6250)
K (0.7500, 0.7302, 0.3750)
K (0.7500, 0.7698, 0.8750)
K (0.7698, 0.2500, 0.1250)
Na (0.0000, 0.0000, 0.0000)
Na (0.0000, 0.5000, 0.2500)
Na (0.5000, 0.0000, 0.7500)
Na (0.5000, 0.5000, 0.5000)
Hf (0.0000, 0.0000, 0.5000)
Hf (0.0000, 0.5000, 0.7500)
Hf (0.5000, 0.0000, 0.2500)
Hf (0.5000, 0.5000, 0.0000)

=====

| no. | total DFT energy (no corrections) (eV per atom) | ρ (g/cm³) | magnetic moment (μB/cell) |
| --- | --- | --- | --- |
| 1 | -26.600 | 6.29 | 0.0 |
| 2 | -34.830 | 10.83 | 3.0 |
| 3 | -7.138 | 1.98 | 0.0 |
| 4 | -19.658 | 2.82 | 12.5 |